A plane-wave DFT calculation with PBE was carried out for an optimized crystal structure of Ce2HoPuSe4.

Computed properties:
Total magnetization: 7.770 μB/f.u.
Space-group type: P2/m
Calculated total energy: -7.32 eV per atom
D(E_F): 2.428 states/eV per atom
Raw formation energy: -1.7337 eV per atom

POSCAR file:
```
Ce2HoPuSe4
1.0
-0.3402 1.9178 3.6445
2.4202 -5.8891 3.3248
5.6014 4.2339 -1.7051
Ce Ho Pu Se
2 1 1 4
direct
0.5000 0.0000 0.5000
0.0000 0.5000 0.5000
0.0000 0.0000 0.0000
0.5000 0.5000 0.0000
0.5000 0.2430 0.2391
0.5000 0.7570 0.7609
0.0000 0.2498 0.7589
0.0000 0.7502 0.2411
```

=====

A plane-wave DFT calculation with PBE was carried out for an optimized crystal structure of CeSmHoPu.

Computed properties:
Energy of formation from the pure elements: 0.28 eV/atom
Total magnetization: 8.298 μB/f.u.
Space-group type: F-43m
Calculated total energy: -7.11 eV per atom
D(E_F): 3.988 states/eV per atom

POSCAR file:
```
CeSmHoPu
1.0
-0.4418 5.2894 -1.7689
-0.6220 1.0831 -5.4537
-4.8928 1.9036 -1.9338
Ce Ho Sm Pu
1 1 1 1
direct
0.7500 0.7500 0.7500
0.0000 0.0000 0.0000
0.5000 0.5000 0.5000
0.2500 0.2500 0.2500
```

=====

A plane-wave DFT calculation with PBE was carried out for an optimized crystal structure of CeHoPuSn.

Computed properties:
Energy of formation from the pure elements: -0.18 eV/atom
Total magnetization: 7.992 μB/f.u.
Space-group type: F-43m
Calculated total energy: -7.39 eV per atom
D(E_F): 2.079 states/eV per atom

POSCAR file:
```
CeHoPuSn
1.0
5.3054 0.0000 0.0000
2.6527 4.5946 0.0000
2.6527 1.5315 4.3319
Sn Ho Ce Pu
1 1 1 1
direct
0.2500 0.2500 0.2500
0.0000 0.0000 0.0000
0.7500 0.7500 0.7500
0.5000 0.5000 0.5000
```

=====

Question: Which value of total magnetization does entry 1 give?
Answer: 7.770 μB/f.u.